Here is crystalline Ir2Ru at its relaxed geometry from Alexandria via LeMat-Bulk. Energies are from GGA-PBEsol.

Cell lengths 9.851, 2.713, 6.400 Å; angles 90.00, 104.12, 90.00 degrees
Fractional coordinates of all 12 atoms:
Ir: 0.029 0.000 0.310
Ir: 0.140 0.500 0.030
Ir: 0.360 0.000 0.970
Ir: 0.471 0.500 0.690
Ir: 0.529 0.500 0.310
Ir: 0.640 0.000 0.030
Ir: 0.860 0.500 0.970
Ir: 0.971 0.000 0.690
Ru: 0.195 0.500 0.637
Ru: 0.305 0.000 0.363
Ru: 0.695 0.000 0.637
Ru: 0.805 0.500 0.363

Values from the calculation:
raw total energy: -9.95 eV/atom
Fermi-level density of states: 0.9756 states/eV/atom
SG: No. 12
V: 13.8 Å³ per atom
total magnetization: 0.000 μB/atom



Here is crystalline IrRu8 at its relaxed geometry from Alexandria via LeMat-Bulk. Energies are from GGA-PBEsol.

Cell lengths 5.963, 5.963, 5.963 Å; angles 95.74, 95.74, 143.13 degrees
Fractional coordinates of all 9 atoms:
Ir: 0.000 0.000 0.000
Ru: 0.000 0.334 0.334
Ru: 0.000 0.666 0.666
Ru: 0.332 0.332 0.665
Ru: 0.332 0.668 0.000
Ru: 0.334 0.000 0.334
Ru: 0.666 0.000 0.666
Ru: 0.668 0.332 0.000
Ru: 0.668 0.668 0.335

Values from the calculation:
raw total energy: -10.06 eV/atom
Fermi-level density of states: 1.0283 states/eV/atom
SG: No. 139
V: 13.4 Å³ per atom
total magnetization: 0.000 μB/atom



Here is crystalline Ir2Ru at its relaxed geometry from Alexandria via LeMat-Bulk. Energies are from GGA-PBEsol.

Cell lengths 5.383, 3.806, 8.082 Å; angles 90.00, 90.00, 90.00 degrees
Fractional coordinates of all 12 atoms:
Ir: 0.125 0.250 0.247
Ir: 0.127 0.250 0.584
Ir: 0.373 0.750 0.084
Ir: 0.375 0.750 0.747
Ir: 0.625 0.250 0.253
Ir: 0.627 0.250 0.916
Ir: 0.873 0.750 0.416
Ir: 0.875 0.750 0.753
Ru: 0.122 0.250 0.919
Ru: 0.378 0.750 0.419
Ru: 0.622 0.250 0.581
Ru: 0.878 0.750 0.081

Values from the calculation:
raw total energy: -9.97 eV/atom
Fermi-level density of states: 0.9186 states/eV/atom
SG: No. 62
V: 13.8 Å³ per atom
total magnetization: 0.000 μB/atom